The following is a DFT calculation (PBE) of an optimized crystal structure of Sm3YEr2.

Lattice parameters (Å, degrees): 5.637 8.974 8.974 112.69 90.00 90.00
Positions (direct):
Y 0.993 0.728 0.728
Sm 0.993 0.375 0.888
Er 0.493 0.705 0.492
Sm 0.493 0.112 0.625
Er 0.993 0.508 0.295
Sm 0.493 0.912 0.912
Y 0.493 0.272 0.272
Er 0.993 0.295 0.508
Er 0.493 0.492 0.705
Sm 0.993 0.888 0.375
Sm 0.493 0.625 0.112
Sm 0.993 0.088 0.088

Properties
**E**: -4.6560 eV per atom
**Formation enthalpy at 0 K**: 301.8 meV per atom